Entry 1
Computed, not measured: a relaxed La4Tb2Sm crystal at the GGA-PBE level of DFT.

Output
Crystal system: monoclinic
Calculated volume, Å³/atom: 35.34

Cell lengths 6.5673, 24.7000, 6.9244 Å; angles 90.00, 118.25, 90.00 degrees
Space group Cc (No. 9)
Asymmetric unit:
La  0.0000  0.0189  0.0000 x4
La  0.0058  0.4472  0.9561 x4
La  0.3699  0.2315  0.7378 x4
La  0.4142  0.1969  0.2776 x4
Tb  0.3934  0.3419  0.3227 x4
Tb  0.4367  0.0921  0.9100 x4
Sm  0.4628  0.3749  0.8667 x4



Entry 2
Computed, not measured: a relaxed La4Tb2Sm crystal at the GGA-PBE level of DFT.

Output
Crystal system: orthorhombic
Calculated volume, Å³/atom: 35.52

Cell lengths 6.9832, 11.6608, 12.2139 Å; angles 90.00, 90.00, 90.00 degrees
Space group Imma (No. 74)
Asymmetric unit:
La  0.0000  0.0004  0.1507 x8
La  0.2183  0.2500  0.0066 x8
Tb  0.0000  0.0000  0.5000 x4
Tb  0.0000  0.2500  0.2835 x4
Sm  0.2500  0.2500  0.7500 x4



Which one is most stable, and which one is least stable? entry 1 is the most stable of them, while entry 2 is the least stable.



Entry 1
Computed, not measured: a relaxed La2Tb3Sm3 crystal at the GGA-PBE level of DFT.

Output
Crystal system: orthorhombic
Calculated volume, Å³/atom: 33.92

Cell lengths 5.1485, 5.1492, 20.4714 Å; angles 90.00, 90.00, 90.00 degrees
Space group Immm (No. 71)
Asymmetric unit:
La  0.0000  0.0000  0.2498 x4
Tb  0.0000  0.0000  0.0000 x2
Tb  0.0000  0.5000  0.1223 x4
Sm  0.0000  0.0000  0.5000 x2
Sm  0.0000  0.5000  0.3777 x4



Entry 2
Computed, not measured: a relaxed La2Tb3Sm3 crystal at the GGA-PBE level of DFT.

Output
Crystal system: orthorhombic
Calculated volume, Å³/atom: 34.53

Cell lengths 3.6266, 17.6813, 17.2310 Å; angles 90.00, 90.00, 90.00 degrees
Space group Cmcm (No. 63)
Asymmetric unit:
La  0.0000  0.2230  0.1517 x8
Tb  0.0000  0.0036  0.1005 x8
Tb  0.0000  0.4193  0.7500 x4
Sm  0.0000  0.3537  0.0101 x8
Sm  0.0000  0.3941  0.2500 x4



Which one is most stable, and which one is least stable? entry 1 is the most stable of them, while entry 2 is the least stable.



Entry 1
Computed, not measured: a relaxed La5TbSm3 crystal at the GGA-PBE level of DFT.

Output
Crystal system: monoclinic
Calculated volume, Å³/atom: 36.60

Cell lengths 20.6040, 6.4257, 11.8375 Å; angles 90.00, 122.79, 90.00 degrees
Space group C2/c (No. 15)
Asymmetric unit:
La  0.0000  0.0826  0.2500 x4
La  0.1400  0.1821  0.6600 x8
La  0.1788  0.3126  0.3354 x8
Tb  0.0000  0.4006  0.7500 x4
Sm  0.0000  0.5000  0.0000 x4
Sm  0.1745  0.2654  0.0223 x8



Entry 2
Computed, not measured: a relaxed La5TbSm3 crystal at the GGA-PBE level of DFT.

Output
Crystal system: tetragonal
Calculated volume, Å³/atom: 35.68

Cell lengths 9.0362, 9.0362, 15.7324 Å; angles 90.00, 90.00, 90.00 degrees
Space group I4/mcm (No. 140)
Asymmetric unit:
La  0.0000  0.0000  0.0000 x4
La  0.2066  0.2934  0.1403 x16
Tb  0.0000  0.5000  0.2500 x4
Sm  0.0000  0.0000  0.2500 x4
Sm  0.1158  0.3842  0.5000 x8



Which one is most stable, and which one is least stable? entry 1 is the most stable of them, while entry 2 is the least stable.



Entry 1
Computed, not measured: a relaxed La4TbSm4 crystal at the GGA-PBE level of DFT.

Output
Crystal system: tetragonal
Calculated volume, Å³/atom: 34.99

Cell lengths 10.9898, 10.9898, 5.2154 Å; angles 90.00, 90.00, 90.00 degrees
Space group I4/mmm (No. 139)
Asymmetric unit:
La  0.1666  0.1666  0.0000 x8
Tb  0.0000  0.0000  0.5000 x2
Sm  0.0000  0.3345  0.5000 x8



Entry 2
Computed, not measured: a relaxed La4TbSm4 crystal at the GGA-PBE level of DFT.

Output
Crystal system: orthorhombic
Calculated volume, Å³/atom: 37.42

Cell lengths 6.6352, 8.2879, 24.4966 Å; angles 90.00, 90.00, 90.00 degrees
Space group Fmm2 (No. 42)
Asymmetric unit:
La  0.0000  0.0000  0.0000 x4
La  0.0000  0.0000  0.4640 x4
La  0.2500  0.2500  0.2356 x8
Tb  0.0000  0.0000  0.1439 x4
Sm  0.0000  0.1743  0.5918 x8
Sm  0.2419  0.0000  0.8517 x8



Which one is most stable, and which one is least stable? entry 1 is the most stable of them, while entry 2 is the least stable.